LiMoO2F: relaxed, PBE with a Hubbard U.

Results
- space group = P4/mmm, No. 123
- crystal system = tetragonal
- raw total energy (eV per atom) = -5.96
- density of states at the Fermi level (states/eV per atom) = 0.34

CIF file:
```
data_LiMoO2F
_cell_length_a 4.0003
_cell_length_b 4.0003
_cell_length_c 4.1939
_cell_angle_alpha 90.00
_cell_angle_beta 90.00
_cell_angle_gamma 90.00
_symmetry_space_group_name_H-M 'P 1'
_symmetry_Int_Tables_number 1
loop_
_symmetry_equiv_pos_as_xyz
'x,y,z'
loop_
_atom_site_label
_atom_site_type_symbol
_atom_site_fract_x
_atom_site_fract_y
_atom_site_fract_z
Li1 Li 0.0000 0.0000 0.0000
Mo1 Mo 0.5000 0.5000 0.5000
O1 O 0.0000 0.5000 0.5000
O2 O 0.5000 0.0000 0.5000
F1 F 0.5000 0.5000 0.0000
```